1.
## SbHO (GGA-PBE)

Data for a geometry-optimized SbHO structure.

Total moment, μB per atom: 0.000

a = 4.871 Å, b = 4.877 Å, c = 5.305 Å
α = 72.63°, β = 85.61°, γ = 67.62°
Sites, in units of the cell vectors:
Sb: 0.000 0.000 0.000
Sb: 0.352 0.285 0.599
H: 0.306 0.064 0.409
H: 0.711 0.584 0.928
O: 0.680 0.391 0.036
O: 0.738 0.927 0.767

=====

2.
## SbHO (GGA-PBE)

Data for a geometry-optimized SbHO structure.

Total moment, μB per atom: 0.000

a = 4.526 Å, b = 4.571 Å, c = 5.699 Å
α = 83.02°, β = 66.81°, γ = 81.65°
Sites, in units of the cell vectors:
Sb: 0.000 0.000 0.000
Sb: 0.090 0.478 0.574
H: 0.466 0.013 0.495
H: 0.671 0.879 0.963
O: 0.312 0.732 0.707
O: 0.501 0.211 0.393

=====

Least stable: 1

=====

1.
## Sb2H2O5 (GGA-PBE)

Data for a geometry-optimized Sb2H2O5 structure.

Total moment, μB per atom: 0.000

a = 6.772 Å, b = 6.772 Å, c = 3.853 Å
α = 90.03°, β = 90.03°, γ = 34.50°
Sites, in units of the cell vectors:
Sb: 0.149 0.149 0.000
Sb: 0.851 0.851 0.000
H: 0.471 0.471 0.503
H: 0.529 0.529 0.497
O: 0.000 0.000 0.000
O: 0.156 0.156 0.500
O: 0.312 0.312 0.000
O: 0.688 0.688 0.000
O: 0.844 0.844 0.500

=====

2.
## Sb2H2O5 (GGA-PBE)

Data for a geometry-optimized Sb2H2O5 structure.

Total moment, μB per atom: 0.000

a = 7.617 Å, b = 7.617 Å, c = 7.617 Å
α = 61.27°, β = 140.30°, γ = 135.35°
Sites, in units of the cell vectors:
Sb: 0.009 0.113 0.122
Sb: 0.009 0.387 0.396
Sb: 0.991 0.613 0.604
Sb: 0.991 0.887 0.878
H: 0.139 0.557 0.081
H: 0.476 0.057 0.919
H: 0.640 0.140 0.500
H: 0.640 0.640 0.000
O: 0.116 0.218 0.398
O: 0.128 0.460 0.982
O: 0.128 0.646 0.168
O: 0.479 0.146 0.018
O: 0.479 0.960 0.832
O: 0.523 0.249 0.413
O: 0.523 0.611 0.774
O: 0.820 0.718 0.602
O: 0.837 0.111 0.587
O: 0.837 0.749 0.226

=====

Least stable: 1